# 1
A geometry-optimized BaN2F structure, computed with GGA-PBE.

Lattice parameters (Å, degrees): 4.272 4.272 4.272 69.89 69.89 69.89
Last column: magnetic moment on the atom in μB.
Sites, in units of the cell vectors:
Ba1 0.500 0.500 0.500  0.06
N1 0.198 0.198 0.198  1.03
N2 0.802 0.802 0.802  1.03
F1 0.000 0.000 0.000  -0.04

Crystal system: trigonal
Space-group type: R-3m, No. 166
Energy above the lowest structure with this stoichiometry: 2280 meV per atom

# 2
A geometry-optimized BaNF3 structure, computed with GGA-PBE.

Lattice parameters (Å, degrees): 4.206 4.206 4.206 90.00 90.00 90.00
Last column: magnetic moment on the atom in μB.
Sites, in units of the cell vectors:
F1 0.000 0.000 0.500  0.01
F2 0.000 0.500 0.000  0.08
F3 0.500 0.000 0.000  0.07
Ba1 0.500 0.500 0.500  0.00
N1 0.000 0.000 0.000  1.37

Crystal system: cubic
Space-group type: Pm-3m, No. 221
Energy above the lowest structure with this stoichiometry: 0 meV per atom

# 3
A geometry-optimized BaN4F structure, computed with GGA-PBE.

Lattice parameters (Å, degrees): 8.463 4.814 6.634 68.73 85.82 78.42
Sites, in units of the cell vectors:
N1 0.393 0.309 0.421
N2 0.104 0.813 0.240
N3 0.604 0.553 0.760
N4 0.396 0.447 0.240
N5 0.893 0.230 0.579
N6 0.607 0.691 0.579
N7 0.107 0.770 0.421
N8 0.896 0.187 0.760
F1 0.250 0.290 0.921
F2 0.750 0.710 0.079
Ba1 0.750 0.160 0.180
Ba2 0.250 0.840 0.820

Crystal system: monoclinic
Space-group type: C2/c, No. 15

# 4
A geometry-optimized BaN2F structure, computed with GGA-PBE.

Lattice parameters (Å, degrees): 7.056 4.302 4.739 90.00 90.00 90.10
Last column: magnetic moment on the atom in μB.
Sites, in units of the cell vectors:
N1 0.367 0.750 0.125  0.26
N2 0.633 0.250 0.875  0.26
N3 0.367 0.750 0.375  0.26
N4 0.633 0.250 0.625  0.26
Ba1 0.790 0.749 0.250  0.06
Ba2 0.210 0.251 0.750  0.06
F1 0.977 0.750 0.750  0.01
F2 0.023 0.250 0.250  0.01

Crystal system: monoclinic
Space-group type: P2_1/m, No. 11
Energy above the lowest structure with this stoichiometry: 0 meV per atom

Number 1: magnetization 3.00 μB/f.u., E_form (uncorrected) 0.707 eV/atom. Number 2: magnetization 2.00 μB/f.u., E_form (uncorrected) -1.346 eV/atom. Number 3: magnetization 0.00 μB/f.u., E_form (uncorrected) -0.956 eV/atom. Number 4: magnetization 0.99 μB/f.u., E_form (uncorrected) -1.573 eV/atom.